1:
First-principles (GGA-PBE) data for crystalline Bi2Au3 at its relaxed geometry, as listed in Alexandria.

POSCAR file:
```
Bi2Au3
1.0
-5.0346 5.0346 5.0346
5.0346 -5.0346 5.0346
5.0346 5.0346 -5.0346
Bi Au
8 12
Cartesian
2.8926 2.1420 -2.1420
5.4099 -0.3753 0.3753
2.1420 -2.1420 2.8926
2.1420 2.1420 2.1420
-2.1420 2.8926 2.1420
0.3753 5.4099 -0.3753
-0.3753 0.3753 5.4099
4.6594 4.6594 4.6594
2.5173 0.1373 0.0000
5.0346 2.5173 -0.1373
0.1373 0.0000 2.5173
7.4147 0.0000 2.5173
0.0000 2.5173 0.1373
2.5173 -0.1373 5.0346
5.0346 2.5173 2.6546
2.5173 7.4147 0.0000
-0.1373 5.0346 2.5173
2.6546 5.0346 2.5173
2.5173 2.6546 5.0346
0.0000 2.5173 7.4147
```

Values from the calculation:
Theoretical density (g/cm3): 13.13


2:
First-principles (GGA-PBE) data for crystalline Bi2Au3 at its relaxed geometry, as listed in Alexandria.

POSCAR file:
```
Bi2Au3
1.0
1.7999 -14.4616 0.0000
1.7999 14.4616 0.0000
0.0000 0.0000 4.5873
Bi Au
4 6
Cartesian
1.7999 12.4477 3.4405
1.7999 8.4542 1.1468
1.7999 -8.4542 3.4405
1.7999 -12.4477 1.1468
1.7999 5.2408 1.1468
1.7999 3.5161 3.4405
1.7999 0.7738 3.4405
1.7999 -0.7738 1.1468
1.7999 -3.5161 1.1468
1.7999 -5.2408 3.4405
```

Values from the calculation:
Theoretical density (g/cm3): 14.03


What should be chosen as the least stable of them? Choose 1.


1:
First-principles (GGA-PBE) data for crystalline Bi4Au at its relaxed geometry, as listed in Alexandria.

POSCAR file:
```
Bi4Au
1.0
5.5707 0.0000 0.0000
0.0000 5.5707 0.0000
0.0000 0.0000 5.5707
Bi Au
4 1
Cartesian
0.0000 0.0000 0.0000
0.0000 2.7853 2.7853
2.7853 0.0000 2.7853
2.7853 2.7853 0.0000
2.7853 2.7853 2.7853
```

Values from the calculation:
Theoretical density (g/cm3): 9.92


2:
First-principles (GGA-PBE) data for crystalline Bi4Au at its relaxed geometry, as listed in Alexandria.

POSCAR file:
```
Bi4Au
1.0
0.0000 5.5321 5.5321
5.5321 0.0000 5.5321
5.5321 5.5321 0.0000
Bi Au
8 2
Cartesian
8.5554 5.2748 5.2748
2.5087 2.5087 2.5087
5.7894 5.7894 2.5087
5.7894 2.5087 5.7894
5.2748 8.5554 5.2748
5.2748 5.2748 8.5554
8.5554 8.5554 8.5554
2.5087 5.7894 5.7894
4.1490 4.1490 4.1490
6.9151 6.9151 6.9151
```

Values from the calculation:
Theoretical density (g/cm3): 10.13


What should be chosen as the least stable of them? Choose 1.